{"formula": "GaSiHgOs2", "functional": "PBE", "state": "relaxed", "lattice": [[-4.637, 1.712, -1.052], [-1.197, -4.190, -1.544], [-1.525, -1.276, 4.647]], "species": ["Hg", "Ga", "Os", "Os", "Si"], "frac_coords": [[0.000, 0.000, 0.000], [0.500, 0.500, 0.500], [0.000, 0.000, 0.500], [0.500, 0.000, 0.000], [0.000, 0.500, 0.000]], "formation_energy_uncorrected_ev_per_atom": 2.5010, "energy_ev_per_atom": -3.74}

---

{"formula": "GaSn2HgOs", "functional": "PBE", "state": "relaxed", "lattice": [[-0.567, -3.787, -3.494], [3.418, -2.907, 2.596], [-3.630, -1.901, 2.649]], "species": ["Sn", "Sn", "Hg", "Os", "Ga"], "frac_coords": [[0.500, 0.000, 0.000], [0.000, 0.500, 0.000], [0.500, 0.500, 0.500], [0.000, 0.000, 0.000], [0.000, 0.000, 0.500]], "delta_e_f_ev_per_atom": 0.11, "energy_ev_per_atom": -4.40}

---

{"formula": "Ga2SnHgOs", "functional": "PBE", "state": "relaxed", "lattice": [[4.901, 0.000, 0.000], [0.000, 4.901, 0.000], [0.000, 0.000, 5.140]], "species": ["Sn", "Hg", "Ga", "Ga", "Os"], "frac_coords": [[0.000, 0.000, 0.500], [0.500, 0.500, 0.500], [0.500, 0.000, 0.000], [0.000, 0.500, 0.000], [0.000, 0.000, 0.000]], "delta_e_f_ev_per_atom": 0.00, "energy_ev_per_atom": -4.32}

---

{"formula": "Th2GaHgOs", "functional": "PBE", "state": "relaxed", "lattice": [[4.295, 0.000, 0.000], [0.000, 7.827, 0.251], [0.000, -3.017, 7.315]], "species": ["Th", "Th", "Th", "Th", "Ga", "Ga", "Hg", "Hg", "Os", "Os"], "frac_coords": [[0.250, 0.116, 0.347], [0.750, 0.719, 0.024], [0.250, 0.281, 0.976], [0.750, 0.884, 0.653], [0.250, 0.547, 0.646], [0.750, 0.453, 0.354], [0.250, 0.685, 0.321], [0.750, 0.315, 0.679], [0.250, 0.870, 0.886], [0.750, 0.130, 0.114]], "delta_e_f_ev_per_atom": -0.36, "energy_ev_per_atom": -6.24}

---

{"formula": "GaHg2P", "functional": "PBE", "state": "relaxed", "lattice": [[0.000, 3.509, 3.509], [3.509, 0.000, 3.509], [3.509, 3.509, 0.000]], "species": ["P", "Ga", "Hg", "Hg"], "frac_coords": [[0.000, 0.000, 0.000], [0.500, 0.500, 0.500], [0.250, 0.250, 0.250], [0.750, 0.750, 0.750]], "relative_energy_ev_per_atom": 0.0168, "delta_e_f_ev_per_atom": 0.35, "energy_ev_per_atom": -1.91}

---

{"formula": "GaHg2P", "functional": "PBE", "state": "relaxed", "lattice": [[6.609, 0.000, 0.000], [0.000, 6.609, 0.000], [3.305, 3.305, 4.975]], "species": ["P", "P", "Ga", "Ga", "Hg", "Hg", "Hg", "Hg"], "frac_coords": [[0.500, 0.500, 0.000], [0.250, 0.750, 0.500], [0.000, 0.000, 0.000], [0.750, 0.250, 0.500], [0.875, 0.847, 0.750], [0.153, 0.625, 0.250], [0.375, 0.403, 0.750], [0.597, 0.125, 0.250]], "relative_energy_ev_per_atom": 0.0000, "delta_e_f_ev_per_atom": 0.33, "energy_ev_per_atom": -1.93}

---

What size of the total moment values result from the calculations? In sequence: 0.36; 0.00; 0.00; 0.00; 0.00; 0.00 μB/atom.
What calculated volume values result from the calculations? In sequence: 118.1; 131.1; 123.5; 249.1; 86.4; 217.3 Å³ per cell.